1.
First-principles (PBE) data for a geometry-optimized BaLiOs structure, as listed in Alexandria.

Calculated values
- ΔE_f (eV per atom) = 1.03
- space-group type = F-43m, No. 216

a = 4.895 Å, b = 4.895 Å, c = 4.895 Å
α = 60.00°, β = 60.00°, γ = 60.00°
Site moments in Bohr magnetons follow the coordinates.
Fractional coordinates of all 3 atoms:
Os1 0.750 0.750 0.750  1.04
Li1 0.500 0.500 0.500  -0.02
Ba1 0.000 0.000 0.000  -0.02

=====

2.
First-principles (PBE) data for a geometry-optimized BaLiOs structure, as listed in Alexandria.

Calculated values
- ΔE_f (eV per atom) = 0.82
- space-group type = I4mm, No. 107

a = 5.908 Å, b = 5.908 Å, c = 3.509 Å
α = 72.72°, β = 72.73°, γ = 34.55°
Fractional coordinates of all 3 atoms:
Os1 0.705 0.705 0.295
Li1 0.287 0.287 0.713
Ba1 0.008 0.008 0.992

=====

3.
First-principles (PBE) data for a geometry-optimized BaLiOs structure, as listed in Alexandria.

Calculated values
- ΔE_f (eV per atom) = 1.08
- space-group type = P3m1, No. 156

a = 3.404 Å, b = 3.404 Å, c = 7.443 Å
α = 90.00°, β = 90.00°, γ = 120.00°
Fractional coordinates of all 3 atoms:
Os1 0.333 0.667 0.643
Ba1 0.000 0.000 0.946
Li1 0.667 0.333 0.411

=====

4.
First-principles (PBE) data for a geometry-optimized Ba4LiOs structure, as listed in Alexandria.

Calculated values
- ΔE_f (eV per atom) = 1.19
- space-group type = F-43m, No. 216

a = 6.917 Å, b = 6.917 Å, c = 6.917 Å
α = 60.00°, β = 60.00°, γ = 60.00°
Fractional coordinates of all 6 atoms:
Ba1 0.373 0.373 0.880
Ba2 0.373 0.880 0.373
Ba3 0.373 0.373 0.373
Ba4 0.880 0.373 0.373
Os1 0.000 0.000 0.000
Li1 0.750 0.750 0.750

=====

5.
First-principles (PBE) data for a geometry-optimized Ba3LiOs structure, as listed in Alexandria.

Calculated values
- ΔE_f (eV per atom) = 0.40
- space-group type = Pm-3m, No. 221

a = 6.095 Å, b = 6.095 Å, c = 6.095 Å
α = 90.00°, β = 90.00°, γ = 90.00°
Fractional coordinates of all 5 atoms:
Os1 0.000 0.000 0.000
Ba1 0.000 0.500 0.000
Ba2 0.500 0.000 0.000
Ba3 0.000 0.000 0.500
Li1 0.500 0.500 0.500

=====

6.
First-principles (PBE) data for a geometry-optimized BaLiOs3 structure, as listed in Alexandria.

Calculated values
- ΔE_f (eV per atom) = 1.74
- space-group type = Pm-3m, No. 221

a = 4.495 Å, b = 4.495 Å, c = 4.495 Å
α = 90.00°, β = 90.00°, γ = 90.00°
Site moments in Bohr magnetons follow the coordinates.
Fractional coordinates of all 5 atoms:
Os1 0.500 0.000 0.000  0.44
Os2 0.000 0.500 0.000  0.72
Os3 0.000 0.000 0.500  0.61
Li1 0.000 0.000 0.000  -0.01
Ba1 0.500 0.500 0.500  0.01

=====

7.
First-principles (PBE) data for a geometry-optimized BaLiOs structure, as listed in Alexandria.

Calculated values
- ΔE_f (eV per atom) = 0.77
- space-group type = Imm2, No. 44

a = 5.982 Å, b = 5.982 Å, c = 5.982 Å
α = 151.56°, β = 138.22°, γ = 51.31°
Fractional coordinates of all 3 atoms:
Ba1 0.990 0.990 0.000
Os1 0.294 0.294 0.000
Li1 0.716 0.716 0.000

=====

8.
First-principles (PBE) data for a geometry-optimized BaLiOs3 structure, as listed in Alexandria.

Calculated values
- ΔE_f (eV per atom) = 3.42
- space-group type = Pm-3m, No. 221

a = 5.156 Å, b = 5.156 Å, c = 5.156 Å
α = 90.00°, β = 90.00°, γ = 90.00°
Site moments in Bohr magnetons follow the coordinates.
Fractional coordinates of all 5 atoms:
Os1 0.000 0.000 0.500  1.58
Os2 0.000 0.500 0.000  1.67
Os3 0.500 0.000 0.000  1.46
Ba1 0.000 0.000 0.000  -0.08
Li1 0.500 0.500 0.500  -0.02

=====

9.
First-principles (PBE) data for a geometry-optimized BaLiOs structure, as listed in Alexandria.

Calculated values
- ΔE_f (eV per atom) = 1.48
- space-group type = F-43m, No. 216

a = 4.916 Å, b = 4.916 Å, c = 4.916 Å
α = 60.00°, β = 60.00°, γ = 60.00°
Site moments in Bohr magnetons follow the coordinates.
Fractional coordinates of all 3 atoms:
Ba1 0.750 0.750 0.750  -0.03
Li1 0.000 0.000 0.000  -0.03
Os1 0.500 0.500 0.500  1.11

=====

10.
First-principles (PBE) data for a geometry-optimized BaLiOs2Pt structure, as listed in Alexandria.

Calculated values
- ΔE_f (eV per atom) = 1.20
- space-group type = P4/mmm, No. 123

a = 4.487 Å, b = 4.628 Å, c = 4.487 Å
α = 90.00°, β = 90.00°, γ = 90.00°
Site moments in Bohr magnetons follow the coordinates.
Fractional coordinates of all 5 atoms:
Ba1 0.500 0.500 0.500  0.02
Os1 0.000 0.000 0.500  0.73
Os2 0.500 0.000 0.000  0.57
Pt1 0.000 0.500 0.000  0.01
Li1 0.000 0.000 0.000  0.00

=====

11.
First-principles (PBE) data for a geometry-optimized BaLiOs2S structure, as listed in Alexandria.

Calculated values
- E_form (uncorrected) (eV per atom) = 1.1870
- space-group type = P4/mmm, No. 123

a = 4.449 Å, b = 5.033 Å, c = 4.449 Å
α = 90.00°, β = 90.00°, γ = 90.00°
Site moments in Bohr magnetons follow the coordinates.
Fractional coordinates of all 5 atoms:
S1 0.000 0.500 0.000  0.06
Ba1 0.500 0.500 0.500  -0.01
Os1 0.500 0.000 0.000  1.10
Os2 0.000 0.000 0.500  1.39
Li1 0.000 0.000 0.000  0.00

=====

12.
First-principles (PBE) data for a geometry-optimized BaLi2SiOs structure, as listed in Alexandria.

Calculated values
- E_form (uncorrected) (eV per atom) = 1.0785
- space-group type = P4/mmm, No. 123

a = 4.861 Å, b = 6.106 Å, c = 4.861 Å
α = 90.00°, β = 90.00°, γ = 90.00°
Site moments in Bohr magnetons follow the coordinates.
Fractional coordinates of all 5 atoms:
Li1 0.000 0.000 0.500  0.02
Li2 0.500 0.000 0.000  0.01
Os1 0.500 0.500 0.500  2.49
Ba1 0.000 0.500 0.000  -0.06
Si1 0.000 0.000 0.000  0.12

=====

13.
First-principles (PBE) data for a geometry-optimized BaLiSi2Os structure, as listed in Alexandria.

Calculated values
- E_form (uncorrected) (eV per atom) = -0.2469
- space-group type = P4/mmm, No. 123

a = 4.646 Å, b = 4.646 Å, c = 5.037 Å
α = 90.00°, β = 90.00°, γ = 90.00°
Fractional coordinates of all 5 atoms:
Si1 0.500 0.000 0.000
Si2 0.000 0.500 0.000
Ba1 0.500 0.500 0.500
Os1 0.000 0.000 0.000
Li1 0.000 0.000 0.500

=====

14.
First-principles (PBE) data for a geometry-optimized BaLi2ZrOs structure, as listed in Alexandria.

Calculated values
- ΔE_f (eV per atom) = 1.83
- space-group type = P4/mmm, No. 123

a = 4.430 Å, b = 5.530 Å, c = 4.430 Å
α = 90.00°, β = 90.00°, γ = 90.00°
Fractional coordinates of all 5 atoms:
Li1 0.000 0.000 0.500
Li2 0.500 0.000 0.000
Os1 0.500 0.500 0.500
Ba1 0.000 0.000 0.000
Zr1 0.000 0.500 0.000

=====

15.
First-principles (PBE) data for a geometry-optimized Ba2LiP2 structure, as listed in Alexandria.

Calculated values
- ΔE_f (eV per atom) = -0.89
- space-group type = C2/m, No. 12

a = 4.450 Å, b = 6.253 Å, c = 11.080 Å
α = 75.81°, β = 78.42°, γ = 69.16°
Fractional coordinates of all 10 atoms:
Li1 0.420 0.831 0.330
Li2 0.580 0.169 0.670
P1 0.961 0.658 0.421
P2 0.652 0.843 0.853
P3 0.039 0.342 0.579
P4 0.348 0.157 0.147
Ba1 0.697 0.254 0.352
Ba2 0.303 0.746 0.648
Ba3 0.091 0.730 0.089
Ba4 0.909 0.270 0.911

=====

16.
First-principles (PBE) data for a geometry-optimized BaLi4P structure, as listed in Alexandria.

Calculated values
- ΔE_f (eV per atom) = -0.07
- space-group type = F-43m, No. 216

a = 5.703 Å, b = 5.703 Å, c = 5.703 Å
α = 60.00°, β = 60.00°, γ = 60.00°
Site moments in Bohr magnetons follow the coordinates.
Fractional coordinates of all 6 atoms:
Ba1 0.000 0.000 0.000  0.04
Li1 0.867 0.378 0.378  0.05
Li2 0.378 0.867 0.378  0.05
Li3 0.378 0.378 0.378  0.05
Li4 0.378 0.378 0.867  0.05
P1 0.750 0.750 0.750  0.08

=====

17.
First-principles (PBE) data for a geometry-optimized Ba2LiP structure, as listed in Alexandria.

Calculated values
- ΔE_f (eV per atom) = -0.30
- space-group type = I-42d, No. 122

a = 9.097 Å, b = 9.097 Å, c = 7.758 Å
α = 54.11°, β = 54.11°, γ = 90.00°
Fractional coordinates of all 8 atoms:
Ba1 0.375 0.313 0.750
Ba2 0.875 0.937 0.750
Ba3 0.063 0.625 0.250
Ba4 0.687 0.125 0.250
P1 0.000 0.000 0.000
P2 0.750 0.250 0.500
Li1 0.250 0.750 0.500
Li2 0.500 0.500 0.000

=====

18.
First-principles (PBE) data for a geometry-optimized BaLiP2 structure, as listed in Alexandria.

Calculated values
- ΔE_f (eV per atom) = 0.03
- space-group type = Pmm2, No. 25

a = 3.210 Å, b = 5.198 Å, c = 6.336 Å
α = 90.00°, β = 90.00°, γ = 90.00°
Fractional coordinates of all 4 atoms:
Ba1 0.000 0.000 0.397
P1 0.000 0.000 0.891
P2 0.500 0.500 0.310
Li1 0.500 0.500 0.901

=====

19.
First-principles (PBE) data for a geometry-optimized BaLiP2 structure, as listed in Alexandria.

Calculated values
- ΔE_f (eV per atom) = -0.58
- space-group type = Cm, No. 8

a = 6.053 Å, b = 6.053 Å, c = 4.398 Å
α = 69.25°, β = 69.25°, γ = 40.53°
Fractional coordinates of all 4 atoms:
Li1 0.212 0.212 0.278
P1 0.106 0.106 0.881
P2 0.709 0.709 0.817
Ba1 0.472 0.472 0.524

=====

20.
First-principles (PBE) data for a geometry-optimized BaLi2P2 structure, as listed in Alexandria.

Calculated values
- ΔE_f (eV per atom) = -0.82
- space-group type = I4/mmm, No. 139

a = 4.462 Å, b = 4.462 Å, c = 5.976 Å
α = 68.08°, β = 68.08°, γ = 90.00°
Fractional coordinates of all 5 atoms:
Li1 0.250 0.750 0.500
Li2 0.750 0.250 0.500
P1 0.614 0.614 0.773
P2 0.386 0.386 0.227
Ba1 0.000 0.000 0.000